LaErAgHg after structural relaxation, computed with PBE-GGA. Values from VASP.

DFT formation energy ... -0.3754 eV per atom
Energy relative to the lowest polymorph listed for this composition ... 14 meV/atom

The structure in Quantum ESPRESSO input format:
```
&SYSTEM
  ibrav = 0, nat = 4, ntyp = 4
/
ATOMIC_SPECIES
Ag 107.87 Ag.upf
Er 167.26 Er.upf
Hg 200.59 Hg.upf
La 138.91 La.upf
CELL_PARAMETERS angstrom
-0.4037 -5.0826 -1.5395
1.5235 -1.4274 -4.8997
4.3927 -2.9354 -0.6736
ATOMIC_POSITIONS crystal
Ag 0.2500 0.2500 0.2500
Er 0.0000 0.0000 0.0000
Hg 0.7500 0.7500 0.7500
La 0.5000 0.5000 0.5000
```

---

Ac6SnBi5 after structural relaxation, computed with PBE-GGA. Values from VASP.

DFT formation energy ... -0.9150 eV per atom

The structure in Quantum ESPRESSO input format:
```
&SYSTEM
  ibrav = 0, nat = 12, ntyp = 3
/
ATOMIC_SPECIES
Ac 227.00 Ac.upf
Bi 208.98 Bi.upf
Sn 118.71 Sn.upf
CELL_PARAMETERS angstrom
-8.3511 0.6515 0.8633
-2.2396 -2.4604 7.7640
-0.3358 5.6370 6.2843
ATOMIC_POSITIONS crystal
Ac 0.7510 0.7520 0.0000
Ac 0.2473 0.9178 0.6688
Ac 0.2473 0.5866 0.3312
Ac 0.2490 0.2480 0.0000
Ac 0.7527 0.0822 0.3312
Ac 0.7527 0.4134 0.6688
Bi 0.0000 0.3339 0.3322
Bi 0.5000 0.5000 0.0000
Bi 0.5000 0.8316 0.3368
Bi 0.0000 0.6661 0.6678
Bi 0.5000 0.1684 0.6632
Sn 0.0000 0.0000 0.0000
```

---

ScMnNi2 after structural relaxation, computed with PBE-GGA. Values from VASP.

DFT formation energy ... -0.2146 eV per atom

The structure in Quantum ESPRESSO input format:
```
&SYSTEM
  ibrav = 0, nat = 4, ntyp = 3
/
ATOMIC_SPECIES
Ni 58.69 Ni.upf
Sc 44.96 Sc.upf
Mn 54.94 Mn.upf
CELL_PARAMETERS angstrom
4.8352 -0.0092 -0.0862
2.0372 4.3851 0.0862
-3.4035 -2.2393 2.6055
ATOMIC_POSITIONS crystal
Ni 0.7497 0.2497 0.5000
Ni 0.9998 0.9998 0.0000
Sc 0.4999 0.4999 0.0000
Mn 0.2506 0.7506 0.5000
```

---

ZnAg3F4 after structural relaxation, computed with PBE-GGA. Values from VASP.

Energy relative to the elements, uncorrected ... -1.149 eV per atom

The structure in Quantum ESPRESSO input format:
```
&SYSTEM
  ibrav = 0, nat = 8, ntyp = 3
/
ATOMIC_SPECIES
F 19.00 F.upf
Ag 107.87 Ag.upf
Zn 65.41 Zn.upf
CELL_PARAMETERS angstrom
4.3615 0.0000 -1.9358
-0.8592 4.2761 -1.9358
0.2542 0.3104 6.4541
ATOMIC_POSITIONS crystal
F 0.5000 0.0000 0.0000
F 0.0000 0.5000 0.0000
F 0.1738 0.1738 0.3477
F 0.8262 0.8262 0.6523
Ag 0.5000 0.5000 0.0000
Ag 0.7500 0.2500 0.5000
Ag 0.2500 0.7500 0.5000
Zn 0.0000 0.0000 0.0000
```

---

LaDyAgPt after structural relaxation, computed with PBE-GGA. Values from VASP.

DFT formation energy ... -0.7062 eV per atom

The structure in Quantum ESPRESSO input format:
```
&SYSTEM
  ibrav = 0, nat = 4, ntyp = 4
/
ATOMIC_SPECIES
Pt 195.08 Pt.upf
La 138.91 La.upf
Dy 162.50 Dy.upf
Ag 107.87 Ag.upf
CELL_PARAMETERS angstrom
-4.8053 -0.0036 -1.8786
-1.3035 -3.3014 -3.7445
-3.1671 -3.9423 1.0237
ATOMIC_POSITIONS crystal
Pt 0.7500 0.7500 0.7500
La 0.5000 0.5000 0.5000
Dy 0.0000 0.0000 0.0000
Ag 0.2500 0.2500 0.2500
```

---

PmDyHo5Sc2 after structural relaxation, computed with PBE-GGA. Values from VASP.

DFT formation energy ... 0.1694 eV per atom

The structure in Quantum ESPRESSO input format:
```
&SYSTEM
  ibrav = 0, nat = 18, ntyp = 4
/
ATOMIC_SPECIES
Pm 145.00 Pm.upf
Dy 162.50 Dy.upf
Ho 164.93 Ho.upf
Sc 44.96 Sc.upf
CELL_PARAMETERS angstrom
-0.7109 5.3211 -1.5082
-1.2804 -5.7449 -9.3568
-9.1177 -0.7363 1.6998
ATOMIC_POSITIONS crystal
Pm 0.8148 0.6295 0.5184
Pm 0.1852 0.3705 0.0184
Dy 0.5970 0.1939 0.9187
Dy 0.4030 0.8061 0.4187
Ho 0.2653 0.5306 0.3342
Ho 0.3076 0.6151 0.7191
Ho 0.4685 0.9370 0.7482
Ho 0.3920 0.7841 0.0459
Ho 0.7347 0.4694 0.8342
Ho 0.9908 0.9815 0.5162
Ho 0.0092 0.0185 0.0162
Ho 0.6924 0.3849 0.2191
Ho 0.6080 0.2159 0.5459
Ho 0.5315 0.0630 0.2482
Sc 0.1381 0.2761 0.6984
Sc 0.8619 0.7239 0.1984
Sc 0.1132 0.2263 0.3249
Sc 0.8868 0.7737 0.8249
```

---

Er4ZnTe after structural relaxation, computed with PBE-GGA. Values from VASP.

Energy relative to the lowest polymorph listed for this composition ... 0 meV/atom
Energy relative to the elements, uncorrected ... -0.517 eV per atom

The structure in Quantum ESPRESSO input format:
```
&SYSTEM
  ibrav = 0, nat = 24, ntyp = 3
/
ATOMIC_SPECIES
Er 167.26 Er.upf
Zn 65.41 Zn.upf
Te 127.60 Te.upf
CELL_PARAMETERS angstrom
3.8814 0.0000 0.0000
0.0000 8.3386 0.0000
0.0000 0.0000 19.5871
ATOMIC_POSITIONS crystal
Er 0.2500 0.0215 0.0710
Er 0.7500 0.8361 0.6538
Er 0.7500 0.3361 0.8462
Er 0.7500 0.8786 0.4404
Er 0.2500 0.5215 0.4290
Er 0.2500 0.1214 0.5596
Er 0.7500 0.4785 0.5710
Er 0.7500 0.4850 0.2826
Er 0.2500 0.0150 0.7826
Er 0.7500 0.9785 0.9290
Er 0.2500 0.5150 0.7174
Er 0.7500 0.3786 0.0596
Er 0.7500 0.9850 0.2174
Er 0.2500 0.1639 0.3462
Er 0.2500 0.6214 0.9404
Er 0.2500 0.6639 0.1538
Zn 0.7500 0.2445 0.4545
Zn 0.2500 0.7555 0.5455
Zn 0.2500 0.2555 0.9545
Zn 0.7500 0.7445 0.0455
Te 0.2500 0.2841 0.1867
Te 0.7500 0.2159 0.6867
Te 0.7500 0.7159 0.8133
Te 0.2500 0.7841 0.3133
```

---

Ca2ReMo after structural relaxation, computed with PBE-GGA. Values from VASP.

DFT formation energy ... 0.8075 eV per atom
Energy relative to the lowest polymorph listed for this composition ... 485 meV/atom

The structure in Quantum ESPRESSO input format:
```
&SYSTEM
  ibrav = 0, nat = 4, ntyp = 3
/
ATOMIC_SPECIES
Mo 95.94 Mo.upf
Ca 40.08 Ca.upf
Re 186.21 Re.upf
CELL_PARAMETERS angstrom
3.9481 0.0000 0.0000
0.0000 3.9481 0.0000
0.0000 0.0000 5.1068
ATOMIC_POSITIONS crystal
Mo 0.5000 0.0000 0.5000
Ca 0.0000 0.0000 0.0000
Ca 0.5000 0.5000 0.0000
Re 0.0000 0.5000 0.5000
```

---

KLaP2 after structural relaxation, computed with PBE-GGA. Values from VASP.

DFT formation energy ... -0.5108 eV per atom
Energy relative to the lowest polymorph listed for this composition ... 356 meV/atom

The structure in Quantum ESPRESSO input format:
```
&SYSTEM
  ibrav = 0, nat = 4, ntyp = 3
/
ATOMIC_SPECIES
P 30.97 P.upf
La 138.91 La.upf
K 39.10 K.upf
CELL_PARAMETERS angstrom
-0.9458 0.8572 7.6447
-1.7941 -3.4360 6.7116
2.4345 -2.0189 7.0759
ATOMIC_POSITIONS crystal
P 0.0194 0.0194 0.0194
P 0.4806 0.4806 0.4806
La 0.7500 0.7500 0.7500
K 0.2500 0.2500 0.2500
```

---

Mn2CoMoAu after structural relaxation, computed with PBE-GGA. Values from VASP.

DFT formation energy ... 1.2953 eV per atom

The structure in Quantum ESPRESSO input format:
```
&SYSTEM
  ibrav = 0, nat = 5, ntyp = 4
/
ATOMIC_SPECIES
Co 58.93 Co.upf
Mn 54.94 Mn.upf
Au 196.97 Au.upf
Mo 95.94 Mo.upf
CELL_PARAMETERS angstrom
-1.7781 -0.4652 4.1629
-3.4969 -2.0545 -1.7232
2.1228 -3.9988 0.4598
ATOMIC_POSITIONS crystal
Co 0.0000 0.5000 0.0000
Mn 0.5000 0.0000 0.0000
Mn 0.0000 0.0000 0.5000
Au 0.5000 0.5000 0.5000
Mo 0.0000 0.0000 0.0000
```

---

HgWAu2 after structural relaxation, computed with PBE-GGA. Values from VASP.

DFT formation energy ... 0.3858 eV per atom

The structure in Quantum ESPRESSO input format:
```
&SYSTEM
  ibrav = 0, nat = 4, ntyp = 3
/
ATOMIC_SPECIES
Au 196.97 Au.upf
Hg 200.59 Hg.upf
W 183.84 W.upf
CELL_PARAMETERS angstrom
-0.4543 1.8879 2.1177
-2.8180 -0.0472 -0.5581
-1.0146 -6.6185 5.6827
ATOMIC_POSITIONS crystal
Au 0.0000 0.0000 0.9882
Au 0.5000 0.5000 0.2411
Hg 0.0000 0.0000 0.5095
W 0.5000 0.5000 0.7612
```

---

Na2AlCo after structural relaxation, computed with PBE-GGA. Values from VASP.

DFT formation energy ... 0.6274 eV per atom

The structure in Quantum ESPRESSO input format:
```
&SYSTEM
  ibrav = 0, nat = 8, ntyp = 3
/
ATOMIC_SPECIES
Na 22.99 Na.upf
Co 58.93 Co.upf
Al 26.98 Al.upf
CELL_PARAMETERS angstrom
-9.5735 1.8033 1.1638
-1.2316 -8.9730 3.7720
-4.9873 -2.7497 4.5902
ATOMIC_POSITIONS crystal
Na 0.3750 0.2522 0.7500
Na 0.7478 0.1250 0.2500
Na 0.8750 0.9978 0.7500
Na 0.0022 0.6250 0.2500
Co 0.7500 0.2500 0.5000
Co 0.0000 0.0000 0.0000
Al 0.5000 0.5000 0.0000
Al 0.2500 0.7500 0.5000
```

---

MnCr2Ru after structural relaxation, computed with PBE-GGA. Values from VASP.

DFT formation energy ... 0.0679 eV per atom
Energy relative to the lowest polymorph listed for this composition ... 2 meV/atom

The structure in Quantum ESPRESSO input format:
```
&SYSTEM
  ibrav = 0, nat = 4, ntyp = 3
/
ATOMIC_SPECIES
Mn 54.94 Mn.upf
Ru 101.07 Ru.upf
Cr 52.00 Cr.upf
CELL_PARAMETERS angstrom
2.9855 0.0000 0.0000
0.0000 4.1489 0.0000
0.0000 0.0000 4.1574
ATOMIC_POSITIONS crystal
Mn 0.5000 0.0000 0.5000
Ru 0.0000 0.5000 0.5000
Cr 0.5000 0.5000 0.0000
Cr 0.0000 0.0000 0.0000
```

---

Th2Al after structural relaxation, computed with PBE-GGA. Values from VASP.

DFT formation energy ... -0.2327 eV per atom

The structure in Quantum ESPRESSO input format:
```
&SYSTEM
  ibrav = 0, nat = 6, ntyp = 2
/
ATOMIC_SPECIES
Th 232.04 Th.upf
Al 26.98 Al.upf
CELL_PARAMETERS angstrom
-5.6775 -2.1442 0.9077
5.1145 -3.3142 0.7164
0.5387 4.2512 4.3923
ATOMIC_POSITIONS crystal
Th 0.8421 0.6579 0.5000
Th 0.6579 0.1579 0.8158
Th 0.3421 0.8421 0.1842
Th 0.1579 0.3421 0.5000
Al 0.2500 0.2500 0.0000
Al 0.7500 0.7500 0.0000
```

---

Fe2AgSbW after structural relaxation, computed with PBE-GGA. Values from VASP.

Energy relative to the elements, uncorrected ... 1.791 eV per atom

The structure in Quantum ESPRESSO input format:
```
&SYSTEM
  ibrav = 0, nat = 5, ntyp = 4
/
ATOMIC_SPECIES
Sb 121.76 Sb.upf
W 183.84 W.upf
Fe 55.84 Fe.upf
Ag 107.87 Ag.upf
CELL_PARAMETERS angstrom
-1.0519 4.2887 -1.4230
-3.4684 -1.8850 -3.1171
-3.1911 0.3294 3.3516
ATOMIC_POSITIONS crystal
Sb 0.5000 0.5000 0.5000
W 0.0000 0.5000 0.0000
Fe 0.5000 0.0000 0.0000
Fe 0.0000 0.0000 0.5000
Ag 0.0000 0.0000 0.0000
```

---

Pr2Nd2Ga3 after structural relaxation, computed with PBE-GGA. Values from VASP.

DFT formation energy ... -0.4310 eV per atom

The structure in Quantum ESPRESSO input format:
```
&SYSTEM
  ibrav = 0, nat = 7, ntyp = 3
/
ATOMIC_SPECIES
Ga 69.72 Ga.upf
Nd 144.24 Nd.upf
Pr 140.91 Pr.upf
CELL_PARAMETERS angstrom
-3.3040 1.8676 0.3079
-2.5895 -3.3769 -7.2547
-3.8019 -3.4281 3.3249
ATOMIC_POSITIONS crystal
Ga 0.1726 0.5416 0.6550
Ga 0.0000 0.0000 0.0000
Ga 0.8274 0.4584 0.3450
Nd 0.4399 0.6956 0.1157
Nd 0.5601 0.3044 0.8843
Pr 0.2988 0.1654 0.4025
Pr 0.7012 0.8346 0.5975
```

---

TcP2Ru after structural relaxation, computed with PBE-GGA. Values from VASP.

DFT formation energy ... 0.0576 eV per atom
Energy relative to the lowest polymorph listed for this composition ... 437 meV/atom

The structure in Quantum ESPRESSO input format:
```
&SYSTEM
  ibrav = 0, nat = 4, ntyp = 3
/
ATOMIC_SPECIES
P 30.97 P.upf
Ru 101.07 Ru.upf
Tc 98.00 Tc.upf
CELL_PARAMETERS angstrom
5.1322 0.0055 0.0000
2.7853 4.3107 0.0000
-3.9587 -2.1581 2.4517
ATOMIC_POSITIONS crystal
P 0.2500 0.7500 0.5000
P 0.0000 0.0000 0.0000
Ru 0.5000 0.5000 0.0000
Tc 0.7500 0.2500 0.5000
```

---

K8ZrSe6 after structural relaxation, computed with PBE-GGA. Values from VASP.

Energy relative to the elements, uncorrected ... -1.180 eV per atom

The structure in Quantum ESPRESSO input format:
```
&SYSTEM
  ibrav = 0, nat = 30, ntyp = 3
/
ATOMIC_SPECIES
Se 78.96 Se.upf
K 39.10 K.upf
Zr 91.22 Zr.upf
CELL_PARAMETERS angstrom
8.9069 0.0000 0.0000
0.0000 10.0327 0.0000
0.0000 0.0000 12.4596
ATOMIC_POSITIONS crystal
Se 0.1804 0.2884 0.0755
Se 0.4103 0.5000 0.8274
Se 0.1804 0.7116 0.0755
Se 0.7123 0.0000 0.9546
Se 0.7339 0.5000 0.2460
Se 0.2877 0.5000 0.4546
Se 0.0362 0.0000 0.3332
Se 0.5897 0.0000 0.3274
Se 0.8196 0.7884 0.5755
Se 0.9638 0.5000 0.8332
Se 0.8196 0.2116 0.5755
Se 0.2661 0.0000 0.7460
K 0.1755 0.3192 0.6520
K 0.8245 0.8192 0.1520
K 0.5593 0.8048 0.7736
K 0.0180 0.6720 0.3505
K 0.8245 0.1808 0.1520
K 0.9820 0.1720 0.8505
K 0.6828 0.5000 0.9955
K 0.6468 0.5000 0.5151
K 0.5593 0.1952 0.7736
K 0.0180 0.3280 0.3505
K 0.3172 0.0000 0.4955
K 0.1755 0.6808 0.6520
K 0.4407 0.3048 0.2736
K 0.9820 0.8280 0.8505
K 0.3532 0.0000 0.0151
K 0.4407 0.6952 0.2736
Zr 0.1894 0.5000 0.9613
Zr 0.8106 0.0000 0.4613
```

---

UCuPd2 after structural relaxation, computed with PBE-GGA. Values from VASP.

DFT formation energy ... -0.0415 eV per atom

The structure in Quantum ESPRESSO input format:
```
&SYSTEM
  ibrav = 0, nat = 4, ntyp = 3
/
ATOMIC_SPECIES
Pd 106.42 Pd.upf
Cu 63.55 Cu.upf
U 238.03 U.upf
CELL_PARAMETERS angstrom
2.8814 0.0000 0.0000
1.4407 2.4954 0.0000
1.4407 0.8318 9.2355
ATOMIC_POSITIONS crystal
Pd 0.2420 0.2420 0.2739
Pd 0.7580 0.7580 0.7261
Cu 0.5000 0.5000 0.5000
U 0.0000 0.0000 0.0000
```

---

LiDyGaAu after structural relaxation, computed with PBE-GGA. Values from VASP.

DFT formation energy ... -0.5823 eV per atom
Energy relative to the lowest polymorph listed for this composition ... 31 meV/atom

The structure in Quantum ESPRESSO input format:
```
&SYSTEM
  ibrav = 0, nat = 4, ntyp = 4
/
ATOMIC_SPECIES
Au 196.97 Au.upf
Ga 69.72 Ga.upf
Li 6.94 Li.upf
Dy 162.50 Dy.upf
CELL_PARAMETERS angstrom
-2.5750 0.4336 4.0568
1.8551 -1.4714 4.2036
1.2827 3.2400 3.3367
ATOMIC_POSITIONS crystal
Au 0.7500 0.7500 0.7500
Ga 0.2500 0.2500 0.2500
Li 0.0000 0.0000 0.0000
Dy 0.5000 0.5000 0.5000
```